Crystalline LiNiIr2 at its relaxed geometry, computed with PBE.

a = 4.9769 Å, b = 4.9769 Å, c = 4.9769 Å
α = 148.99°, β = 65.25°, γ = 124.17°
With the nearest neighbours (Å) after each atom.
Positions (direct):
Ir 0.5513 0.3097 0.2416  3 Li 2.54-2.66, 3 Ni 2.58-2.61, 6 Ir 2.66-2.69
Ir 0.0681 0.3097 0.7584  3 Li 2.54-2.66, 3 Ni 2.58-2.61, 6 Ir 2.66-2.69
Li 0.9799 0.9799 0.0000  6 Ir 2.54-2.66, 4 Ni 2.62-2.75, 2 Li 2.66
Ni 0.4967 0.9967 0.5000  6 Ir 2.58-2.61, 4 Li 2.62-2.75, 2 Ni 2.66

Calculated values
Distance to the lowest polymorph of the same formula (meV/atom): 0
V (Å³ per atom): 12.995
Spin magnetization (μB per formula unit): 0.0
Mass density (kg/m3): 14377
Total DFT energy (no corrections) (Ha/atom): -0.236
Space group: Imm2